Entry 1:
{"formula": "Sc4CuPN2", "functional": "GGA-PBE", "state": "optimized geometry", "lattice_angstrom": [[3.248, 0.000, 0.000], [-1.624, 2.813, 0.000], [0.000, 0.000, 12.914]], "species": ["Cu", "N", "N", "P", "Sc", "Sc", "Sc", "Sc"], "fractional_positions": [[0.000, 0.000, 0.000], [0.333, 0.667, 0.261], [0.333, 0.667, 0.739], [0.667, 0.333, 0.500], [0.667, 0.333, 0.161], [0.000, 0.000, 0.354], [0.000, 0.000, 0.646], [0.667, 0.333, 0.839]], "spacegroup": "P-6m2 (187)"}

Entry 2:
{"formula": "LuMgU", "functional": "GGA-PBE", "state": "optimized geometry", "lattice_angstrom": [[0.000, 3.593, 3.593], [3.593, 0.000, 3.593], [3.593, 3.593, 0.000]], "species": ["Lu", "Mg", "U"], "fractional_positions": [[0.250, 0.250, 0.250], [0.000, 0.000, 0.000], [0.750, 0.750, 0.750]], "spacegroup": "F-43m (216)", "relative_energy_mev_per_atom": 0}

Entry 3:
{"formula": "Y3Tm2Lu2Ni2Te2", "functional": "GGA-PBE", "state": "optimized geometry", "lattice_angstrom": [[1.643, -8.635, 2.898], [-8.416, 3.599, 1.371], [6.724, -4.205, -4.772]], "species": ["Lu", "Lu", "Ni", "Ni", "Te", "Te", "Tm", "Tm", "Y", "Y", "Y"], "fractional_positions": [[0.028, 0.894, 0.134], [0.759, 0.894, 0.866], [0.648, 0.407, 0.241], [0.167, 0.407, 0.759], [0.137, 0.137, 0.000], [0.745, 0.245, 0.500], [0.412, 0.098, 0.315], [0.783, 0.098, 0.685], [0.478, 0.478, 0.000], [0.097, 0.744, 0.352], [0.392, 0.744, 0.648]], "spacegroup": "Imm2 (44)", "relative_energy_mev_per_atom": 5}

Entry 4:
{"formula": "Hf2BeBi", "functional": "GGA-PBE", "state": "optimized geometry", "lattice_angstrom": [[2.426, -4.079, -1.196], [2.317, -2.573, 3.459], [-1.730, -4.367, 1.373]], "species": ["Be", "Bi", "Hf", "Hf"], "fractional_positions": [[0.250, 0.250, 0.250], [0.500, 0.500, 0.500], [0.000, 0.000, 0.000], [0.750, 0.750, 0.750]], "spacegroup": "F-43m (216)"}

Entry 5:
{"formula": "Ni16Te", "functional": "GGA-PBE", "state": "optimized geometry", "lattice_angstrom": [[4.275, 0.000, 0.000], [0.018, 6.518, 0.000], [0.053, 0.021, 27.482]], "species": ["Ni", "Ni", "Ni", "Ni", "Ni", "Ni", "Ni", "Ni", "Ni", "Ni", "Ni", "Ni", "Ni", "Ni", "Ni", "Ni", "Ni", "Ni", "Ni", "Ni", "Ni", "Ni", "Ni", "Ni", "Ni", "Ni", "Ni", "Ni", "Ni", "Ni", "Ni", "Ni", "Te", "Te"], "fractional_positions": [[0.414, 0.032, 0.287], [0.582, 0.681, 0.299], [0.754, 0.321, 0.309], [0.915, 0.962, 0.325], [0.085, 0.609, 0.338], [0.249, 0.251, 0.354], [0.417, 0.892, 0.368], [0.587, 0.535, 0.382], [0.751, 0.178, 0.396], [0.918, 0.821, 0.409], [0.084, 0.464, 0.424], [0.250, 0.107, 0.438], [0.417, 0.749, 0.451], [0.583, 0.393, 0.465], [0.750, 0.036, 0.479], [0.917, 0.678, 0.493], [0.083, 0.322, 0.507], [0.250, 0.964, 0.521], [0.417, 0.607, 0.535], [0.583, 0.251, 0.549], [0.750, 0.893, 0.562], [0.916, 0.536, 0.576], [0.082, 0.179, 0.591], [0.249, 0.822, 0.604], [0.413, 0.465, 0.618], [0.583, 0.108, 0.632], [0.751, 0.749, 0.646], [0.915, 0.391, 0.662], [0.085, 0.038, 0.675], [0.246, 0.679, 0.691], [0.418, 0.319, 0.701], [0.586, 0.968, 0.713], [0.247, 0.395, 0.260], [0.753, 0.605, 0.740]], "spacegroup": "P-1 (2)", "relative_energy_mev_per_atom": 49}

Entry 6:
{"formula": "SmSbMoI2", "functional": "GGA-PBE", "state": "optimized geometry", "lattice_angstrom": [[4.279, 0.000, 0.000], [-2.140, 3.706, 0.000], [0.000, 0.000, 10.411]], "species": ["I", "I", "Mo", "Sb", "Sm"], "fractional_positions": [[0.333, 0.667, 0.336], [0.667, 0.333, 0.695], [0.333, 0.667, 0.859], [0.000, 0.000, 0.970], [0.667, 0.333, 0.141]], "spacegroup": "P3m1 (156)"}

Entry 7:
{"formula": "TlFeNiHg", "functional": "GGA-PBE", "state": "optimized geometry", "lattice_angstrom": [[0.000, 3.225, 3.225], [3.225, 0.000, 3.225], [3.225, 3.225, 0.000]], "species": ["Fe", "Hg", "Ni", "Tl"], "fractional_positions": [[0.750, 0.750, 0.750], [0.500, 0.500, 0.500], [0.250, 0.250, 0.250], [0.000, 0.000, 0.000]], "spacegroup": "F-43m (216)", "relative_energy_mev_per_atom": 0}

Entry 8:
{"formula": "InCoHgW", "functional": "GGA-PBE", "state": "optimized geometry", "lattice_angstrom": [[0.000, 3.256, 3.256], [3.256, 0.000, 3.256], [3.256, 3.256, 0.000]], "species": ["Co", "Hg", "In", "W"], "fractional_positions": [[0.750, 0.750, 0.750], [0.500, 0.500, 0.500], [0.000, 0.000, 0.000], [0.250, 0.250, 0.250]], "spacegroup": "F-43m (216)", "relative_energy_mev_per_atom": 0}

Entry 9:
{"formula": "Tb5Se6", "functional": "GGA-PBE", "state": "optimized geometry", "lattice_angstrom": [[-6.216, 1.095, 3.121], [0.289, -1.049, -6.957], [1.300, -6.543, 2.231]], "species": ["Se", "Se", "Se", "Se", "Se", "Se", "Tb", "Tb", "Tb", "Tb", "Tb"], "fractional_positions": [[0.754, 0.754, 0.244], [0.411, 0.082, 0.247], [0.082, 0.411, 0.247], [0.918, 0.589, 0.753], [0.589, 0.918, 0.753], [0.246, 0.246, 0.756], [0.665, 0.335, 0.000], [0.335, 0.665, 0.000], [0.835, 0.165, 0.500], [0.500, 0.500, 0.500], [0.165, 0.835, 0.500]], "spacegroup": "C2/m (12)"}

Entry 10:
{"formula": "PrPaCo", "functional": "GGA-PBE", "state": "optimized geometry", "lattice_angstrom": [[0.000, 3.278, 3.278], [3.278, 0.000, 3.278], [3.278, 3.278, 0.000]], "species": ["Co", "Pa", "Pr"], "fractional_positions": [[0.250, 0.250, 0.250], [0.000, 0.000, 0.000], [0.750, 0.750, 0.750]], "formation_enthalpy_0k_mev_per_atom": 720, "spacegroup": "F-43m (216)"}

Entry 11:
{"formula": "DyErAg2Sb4", "functional": "GGA-PBE", "state": "optimized geometry", "lattice_angstrom": [[-3.414, 2.537, 0.785], [-2.493, -3.503, 0.473], [2.198, -0.190, 10.168]], "species": ["Ag", "Ag", "Dy", "Er", "Sb", "Sb", "Sb", "Sb"], "fractional_positions": [[0.500, 0.000, 0.500], [0.000, 0.500, 0.500], [0.000, 0.000, 0.236], [0.500, 0.500, 0.765], [0.500, 0.500, 0.314], [0.000, 0.000, 0.687], [0.500, 0.000, 0.999], [0.000, 0.500, 0.999]], "spacegroup": "P4mm (99)"}

Entry 12:
{"formula": "LaNd2B2Os2N3", "functional": "GGA-PBE", "state": "optimized geometry", "lattice_angstrom": [[-1.861, 1.861, 10.563], [1.861, -1.861, 10.563], [1.861, 1.861, -10.563]], "species": ["B", "B", "La", "N", "N", "N", "Nd", "Nd", "Os", "Os"], "fractional_positions": [[0.188, 0.188, 0.000], [0.812, 0.812, 0.000], [0.000, 0.000, 0.000], [0.118, 0.118, 0.000], [0.500, 0.500, 0.000], [0.882, 0.882, 0.000], [0.377, 0.377, 0.000], [0.623, 0.623, 0.000], [0.750, 0.250, 0.500], [0.250, 0.750, 0.500]], "spacegroup": "I4/mmm (139)"}

| no. | final energy (eV/atom) | volume (Å³ per atom) | calculated density (g/cm³) |
| --- | --- | --- | --- |
| 1 | -7.5756 | 14.7 | 4.26 |
| 2 | -4.6839 | 30.9 | 7.83 |
| 3 | -5.6731 | 25.5 | 7.85 |
| 4 | -6.2719 | 20.7 | 11.52 |
| 5 | -5.3331 | 22.5 | 4.63 |
| 6 | -5.0423 | 33.0 | 6.25 |
| 7 | -3.6800 | 16.8 | 12.86 |
| 8 | -4.9258 | 17.3 | 13.42 |
| 9 | -5.8810 | 25.9 | 7.38 |
| 10 | -6.4061 | 23.5 | 10.16 |
| 11 | -4.5125 | 24.3 | 8.81 |
| 12 | -8.4881 | 14.6 | 9.89 |